! AlCu3Mo4O12, optimized geometry, DFT GGA+U; values from VASP
! - Volume: 11.27 Å³/atom
! - VASP energy: -128.76 eV per cell
! - Symmetry: Im-3
! - M_tot: 0.30 μB per atom
&SYSTEM
  ibrav = 0, nat = 20, ntyp = 4
/
ATOMIC_SPECIES
O 16.00 O.upf
Mo 95.94 Mo.upf
Al 26.98 Al.upf
Cu 63.55 Cu.upf
ATOMIC_POSITIONS crystal
O 0.1687 0.4715 0.3028
O 0.1687 0.8659 0.6972
O 0.6972 0.1687 0.8659
O 0.8659 0.6972 0.1687
O 0.8313 0.1341 0.3028
O 0.3028 0.8313 0.1341
O 0.6972 0.8313 0.5285
O 0.1341 0.3028 0.8313
O 0.5285 0.6972 0.8313
O 0.8313 0.5285 0.6972
O 0.4715 0.3028 0.1687
O 0.3028 0.1687 0.4715
Mo 0.5000 0.0000 0.0000
Mo 0.0000 0.5000 0.0000
Mo 0.0000 0.0000 0.5000
Mo 0.5000 0.5000 0.5000
Al 0.0000 0.0000 0.0000
Cu 0.0000 0.5000 0.5000
Cu 0.5000 0.5000 0.0000
Cu 0.5000 0.0000 0.5000
CELL_PARAMETERS angstrom
-3.8340 3.8340 3.8340
3.8340 -3.8340 3.8340
3.8340 3.8340 -3.8340